A relaxed structure of NiIO2. Source: Alexandria via LeMat-Bulk, functional PBE+U.

Values from the calculation:
Uncorrected energy   -3.69 eV/atom

POSCAR file:
```
NiIO2
1.0
4.4530 0.0000 0.0000
0.1549 4.8970 0.0000
0.8483 0.2501 6.7483
Ni I O
2 2 4
direct
0.0000 0.0000 0.0000 Ni
0.2598 0.7051 0.6444 Ni
0.5990 0.4065 0.0093 I
0.8120 0.7416 0.3925 I
0.2090 0.1110 0.7229 O
0.3210 0.1287 0.1250 O
0.4307 0.3095 0.6933 O
0.9223 0.6837 0.8605 O
```